Entry from Alexandria: crystalline NbVCdF2 at its relaxed geometry (PBE+U).

Output
ρ   5.85 g/cm³
DOS at the Fermi energy   3.7 states/eV per cell
E_tot   -24.045 eV/cell
Crystal system   tetragonal
Magnetic moment   1.0 Bohr magnetons per cell

Cell lengths 4.032, 4.032, 5.139 Å; angles 90.00, 90.00, 90.00 degrees
Atoms (fractional coordinates):
Nb: 0.000 0.000 0.000
V: 0.000 0.000 0.500
Cd: 0.500 0.500 0.000
F: 0.000 0.500 0.500
F: 0.500 0.000 0.500